CdIn4Si after structural relaxation. Source: the Alexandria database, functional PBE.

Computed properties:
Space group = No. 216
DFT total energy = -14.80 eV/cell

Cell lengths 6.097, 6.097, 6.097 Å; angles 60.00, 60.00, 60.00 degrees
Positions (direct):
1 Cd 0.000 0.000 0.000
2 In 0.126 0.625 0.625
3 In 0.625 0.126 0.625
4 In 0.625 0.625 0.126
5 In 0.625 0.625 0.625
6 Si 0.250 0.250 0.250